DFT (PBE) results for an optimized crystal structure of CeNd2O5.

Summary:
spin magnetization: 0.0 μB/cell
energy relative to the elements, uncorrected: -3.3316 eV per atom
SG: C2/c
volume: 273.49 Å³/cell

abc: 5.9198 6.8933 8.0889
angles: 111.06 90.00 115.43
Fractional positions:
Ce: 0.0000 0.0000 0.0000
Ce: 0.0000 0.0000 0.5000
Nd: 0.6345 0.2807 0.2525
Nd: 0.3538 0.7193 0.2475
Nd: 0.6462 0.2807 0.7525
Nd: 0.3655 0.7193 0.7475
O: 0.0148 0.3517 0.1490
O: 0.7447 0.1489 0.4579
O: 0.4042 0.1489 0.9579
O: 0.6631 0.6483 0.3510
O: 0.3369 0.3517 0.6490
O: 0.1996 0.0000 0.2500
O: 0.5958 0.8511 0.0421
O: 0.2553 0.8511 0.5421
O: 0.9852 0.6483 0.8510
O: 0.8004 0.0000 0.7500